Compound: NaPu2MoO8
Source: Alexandria
Functional: PBE with a Hubbard U
Structure: optimized geometry

Properties
Raw total energy = -104.26 eV per cell
Calculated density = 7.3 g cm⁻³

abc: 4.9375 4.9353 6.8257
angles: 89.99 90.00 89.41
Sites, in units of the cell vectors:
1 O 0.3244 0.3240 0.5000
2 O 0.2952 0.2949 0.0000
3 O 0.7048 0.7051 0.0000
4 O 0.1963 0.8035 0.7927
5 O 0.8039 0.1966 0.7924
6 O 0.1961 0.8034 0.2076
7 O 0.6756 0.6760 0.5000
8 O 0.8037 0.1965 0.2073
9 Pu 0.5001 0.5000 0.7508
10 Pu 0.4999 0.5000 0.2492
11 Mo 0.0000 0.0000 0.0000
12 Na 0.0000 0.0000 0.5000